CeY5Hg4 | PBE-GGA | relaxed

a = 3.6973 Å, b = 3.6973 Å, c = 19.6488 Å
α = 90.00°, β = 90.00°, γ = 90.00°
Closest atoms and distances in Å follow each position.
Space group P4/mmm (No. 123)
One atom of each set of equivalent atoms:
Ce1 0.0000 0.0000 0.0000 x1  8 Y 3.48, 4 Ce 3.70
Y1 0.5000 0.5000 0.1165 x2  4 Hg 3.21, 4 Ce 3.48
Y2 0.5000 0.5000 0.3089 x2  8 Hg 3.21-3.24
Y3 0.5000 0.5000 0.5000 x1  8 Hg 3.22
Hg1 0.0000 0.0000 0.2112 x2  8 Y 3.21-3.24
Hg2 0.0000 0.0000 0.4039 x2  8 Y 3.21-3.22

Output
size of the total moment	0.334	μB/f.u.
DFT formation energy	-0.385	eV/atom

---

Ce2YHg | PBE-GGA | relaxed

a = 3.4129 Å, b = 3.4129 Å, c = 10.0225 Å
α = 90.00°, β = 90.00°, γ = 90.00°
Closest atoms and distances in Å follow each position.
Space group P4/mmm (No. 123)
One atom of each set of equivalent atoms:
Ce1 0.0000 0.0000 0.2289 x2  4 Hg 3.33, 4 Ce 3.41, 4 Y 3.63
Y1 0.5000 0.5000 0.5000 x1  4 Y 3.41, 8 Ce 3.63
Hg1 0.5000 0.5000 0.0000 x1  8 Ce 3.33, 4 Hg 3.41

Output
size of the total moment	2.031	μB/f.u.
polymorph energy (0 for the lowest one)	0.0658	eV per atom
DFT formation energy	-0.050	eV/atom

---

CeYHg5 | PBE-GGA | relaxed

a = 5.2025 Å, b = 5.2025 Å, c = 7.0196 Å
α = 90.00°, β = 90.00°, γ = 90.00°
Closest atoms and distances in Å follow each position.
Space group P4/mmm (No. 123)
One atom of each set of equivalent atoms:
Ce1 0.0000 0.0000 0.0000 x1  8 Hg 3.23
Y1 0.5000 0.5000 0.5000 x1  8 Hg 3.05
Hg1 0.0000 0.5000 0.2732 x4  2 Y 3.05, 3 Hg 3.18-3.23, 2 Ce 3.23
Hg2 0.5000 0.5000 0.0000 x1  8 Hg 3.23, 2 Y 3.51

Output
size of the total moment	1.158	μB/f.u.
DFT formation energy	-0.241	eV/atom